{"formula": "BaAlCu2O5", "functional": "PBE-GGA", "state": "relaxed", "cell": [[3.7143, 0.0000, 0.0000], [0.0000, 3.7143, 0.0000], [0.0000, 0.0000, 7.6497]], "species": ["Ba", "Al", "Cu", "Cu", "O", "O", "O", "O", "O"], "frac_coords": [[0.0000, 0.0000, 0.0000], [0.0000, 0.0000, 0.4996], [0.5000, 0.5000, 0.2780], [0.5000, 0.5000, 0.7206], [0.0000, 0.5000, 0.3420], [0.0000, 0.5000, 0.6563], [0.5000, 0.0000, 0.3420], [0.5000, 0.0000, 0.6563], [0.5000, 0.5000, 0.9991]], "sg": "P4mm, No. 99", "total_energy_ev_per_cell": -51.30, "mass_density_g_cm3": 5.84, "e_form_raw_ev_per_atom": -1.41}